Compound: NiSbPdPt
Source: the Open Quantum Materials Database
Functional: PBE
Structure: optimized geometry

Lattice parameters (Å, degrees): 6.325 6.325 6.325 90.00 90.00 90.00
Space group F-43m (No. 216)
Unique sites:
1 Ni 0.000 0.000 0.000
2 Sb 0.250 0.250 0.750
3 Pd 0.250 0.250 0.250
4 Pt 0.000 0.000 0.500

## Properties
Its energy above the lowest structure with this stoichiometry is 0 meV per atom. The size of the total moment is 0.0 μB per formula unit.

***

Compound: Si2Ni2PdPt
Source: the Open Quantum Materials Database
Functional: PBE
Structure: optimized geometry

Lattice parameters (Å, degrees): 3.561 3.561 6.095 90.00 90.00 90.00
Space group P4mm (No. 99)
Unique sites:
1 Si 0.000 0.000 0.000
2 Si 0.500 0.500 0.487
3 Ni 0.000 0.500 0.244
4 Pd 0.000 0.000 0.608
5 Pt 0.500 0.500 0.880

## Properties
The value obtained for the total energy is -6.201 eV/atom. The size of the total moment is 0.0 μB per formula unit.

***

Compound: NiSnPdPt
Source: the Open Quantum Materials Database
Functional: PBE
Structure: optimized geometry

Lattice parameters (Å, degrees): 6.307 6.307 6.307 90.00 90.00 90.00
Space group F-43m (No. 216)
Unique sites:
1 Ni 0.000 0.000 0.000
2 Sn 0.250 0.250 0.750
3 Pd 0.250 0.250 0.250
4 Pt 0.000 0.000 0.500

## Properties
Its energy above the lowest structure with this stoichiometry is 0 meV per atom. The size of the total moment is 0.0 μB per formula unit.

***

Compound: Ni2Sn2PdPt
Source: the Open Quantum Materials Database
Functional: PBE
Structure: optimized geometry

Lattice parameters (Å, degrees): 3.889 3.889 6.499 90.00 90.00 90.00
Space group P4mm (No. 99)
Unique sites:
1 Ni 0.000 0.500 0.000
2 Sn 0.000 0.000 0.268
3 Sn 0.500 0.500 0.733
4 Pd 0.000 0.000 0.679
5 Pt 0.500 0.500 0.321

## Properties
The value obtained for the total energy is -5.374 eV/atom. The size of the total moment is 0.0 μB per formula unit.

***

Compound: TlNiPdPt
Source: the Open Quantum Materials Database
Functional: PBE
Structure: optimized geometry

Lattice parameters (Å, degrees): 6.359 6.359 6.359 90.00 90.00 90.00
Space group F-43m (No. 216)
Unique sites:
1 Tl 0.000 0.000 0.000
2 Ni 0.250 0.250 0.250
3 Pd 0.250 0.250 0.750
4 Pt 0.000 0.000 0.500

## Properties
Its energy above the lowest structure with this stoichiometry is 0 meV per atom. The size of the total moment is 0.0 μB per formula unit.

***

Compound: PuNiPd
Source: the Open Quantum Materials Database
Functional: PBE
Structure: optimized geometry

Lattice parameters (Å, degrees): 6.242 6.242 6.242 90.00 90.00 90.00
Space group F-43m (No. 216)
Unique sites:
1 Pu 0.000 0.000 0.000
2 Ni 0.000 0.000 0.500
3 Pd 0.250 0.250 0.750

## Properties
The formation enthalpy at 0 K is 0.045 eV per atom. The size of the total moment is 5.1 μB per formula unit.

***

Compound: PuUNiPd
Source: the Open Quantum Materials Database
Functional: PBE
Structure: optimized geometry

Lattice parameters (Å, degrees): 6.498 6.498 6.498 90.00 90.00 90.00
Space group F-43m (No. 216)
Unique sites:
1 Pu 0.000 0.000 0.000
2 U 0.250 0.250 0.750
3 Ni 0.000 0.000 0.500
4 Pd 0.250 0.250 0.250

## Properties
The formation enthalpy at 0 K is -0.416 eV per atom. The size of the total moment is 6.0 μB per formula unit.

***

Compound: RbNiPdS3
Source: the Open Quantum Materials Database
Functional: PBE
Structure: optimized geometry

Lattice parameters (Å, degrees): 8.087 3.626 9.572 90.00 109.38 90.00
Space group P2_1/m (No. 11)
Unique sites:
1 Rb 0.225 0.250 0.265
2 Ni 0.346 0.750 0.859
3 Pd 0.102 0.250 0.593
4 S 0.162 0.250 0.864
5 S 0.284 0.750 0.606
6 S 0.467 0.750 0.114

## Properties
The value obtained for the total energy is -4.408 eV/atom. The size of the total moment is 0.0 μB per formula unit.

***

Compound: Re2NiPd
Source: the Open Quantum Materials Database
Functional: PBE
Structure: optimized geometry

Lattice parameters (Å, degrees): 6.099 6.099 6.099 90.00 90.00 90.00
Space group F-43m (No. 216)
Unique sites:
1 Re 0.000 0.000 0.000
2 Re 0.250 0.250 0.250
3 Ni 0.250 0.250 0.750
4 Pd 0.000 0.000 0.500

## Properties
The formation enthalpy at 0 K is 0.247 eV per atom. The size of the total moment is 0.0 μB per formula unit.

***

Compound: ReNiPd2
Source: the Open Quantum Materials Database
Functional: PBE
Structure: optimized geometry

Lattice parameters (Å, degrees): 6.089 6.089 6.089 90.00 90.00 90.00
Space group F-43m (No. 216)
Unique sites:
1 Re 0.000 0.000 0.000
2 Ni 0.250 0.250 0.750
3 Pd 0.000 0.000 0.500
4 Pd 0.250 0.250 0.250

## Properties
The formation enthalpy at 0 K is 0.307 eV per atom. The size of the total moment is 0.4 μB per formula unit.

***

Compound: ReSiNiPd
Source: the Open Quantum Materials Database
Functional: PBE
Structure: optimized geometry

Lattice parameters (Å, degrees): 6.012 6.012 6.012 90.00 90.00 90.00
Space group F-43m (No. 216)
Unique sites:
1 Re 0.000 0.000 0.000
2 Si 0.000 0.000 0.500
3 Ni 0.250 0.250 0.750
4 Pd 0.250 0.250 0.250

## Properties
The value obtained for the total energy is -6.855 eV/atom. The size of the total moment is 1.1 μB per formula unit.

***

Compound: TlReNiPd
Source: the Open Quantum Materials Database
Functional: PBE
Structure: optimized geometry

Lattice parameters (Å, degrees): 6.338 6.338 6.338 90.00 90.00 90.00
Space group F-43m (No. 216)
Unique sites:
1 Tl 0.000 0.000 0.000
2 Re 0.000 0.000 0.500
3 Ni 0.250 0.250 0.250
4 Pd 0.250 0.250 0.750

## Properties
The value obtained for the total energy is -5.767 eV/atom. The size of the total moment is 1.9 μB per formula unit.

***

Repeat the fourth record exactly.
Compound: Ni2Sn2PdPt
Source: the Open Quantum Materials Database
Functional: PBE
Structure: optimized geometry

Lattice parameters (Å, degrees): 3.889 3.889 6.499 90.00 90.00 90.00
Space group P4mm (No. 99)
Unique sites:
1 Ni 0.000 0.500 0.000
2 Sn 0.000 0.000 0.268
3 Sn 0.500 0.500 0.733
4 Pd 0.000 0.000 0.679
5 Pt 0.500 0.500 0.321

## Properties
The value obtained for the total energy is -5.374 eV/atom. The size of the total moment is 0.0 μB per formula unit.

***

> What is the size of the total moment in the first record?

0.0 μB per formula unit

***

> Number 9 is which compound?

Re2NiPd